BiOsAu2Cl after structural relaxation. Source: Alexandria, functional PBE.

a b c (Å): 5.2866 4.3079 5.2866
angles (deg): 90.00 90.00 90.00
Closest atoms and distances in Å follow each position.
Element x y z (fractional)
Os1 0.0000 0.0000 0.0000  2 Cl 2.15
Au1 0.0000 0.0000 0.5000  2 Os 2.64
Au2 0.5000 0.0000 0.0000  2 Os 2.64
Bi1 0.5000 0.5000 0.5000  8 Au 3.41, 4 Cl 3.74
Cl1 0.0000 0.5000 0.0000  2 Os 2.15

## Properties
**Symmetry**: P4/mmm (123)
**Size of the total moment**: 0.0 μB/f.u.
**DFT total energy**: -3.939 eV/atom
**Formation energy without anion corrections**: 0.763 eV/atom